Computed, not measured: a relaxed structure of PmSbAu at the GGA-PBE level of DFT.

Results
Final energy = -4.822 eV per atom
SG = P4/nmm, No. 129
V = 156.08 Å³ per cell
Excess energy over the best structure of this formula in the dataset = 0.066 eV per atom
Mass density = 9867 kg/m3

extended XYZ file:
```
6
Lattice="4.691 0.000 0.000 0.000 4.691 0.000 0.000 0.000 7.093" Properties=species:S:1:pos:R:3 pbc="T T T"
Pm 1.173 1.173 1.487
Pm 3.518 3.518 5.607
Sb 1.173 1.173 5.443
Sb 3.518 3.518 1.650
Au 1.173 3.518 3.547
Au 3.518 1.173 3.547
```



Computed, not measured: a relaxed structure of CeGdCdGa at the GGA-PBE level of DFT.

Results
Final energy = -6.351 eV per atom
SG = F-43m, No. 216
V = 103.44 Å³ per cell
E_form = -0.362 eV/atom
Mass density = 7697 kg/m3

extended XYZ file:
```
4
Lattice="0.000 3.726 3.726 3.726 0.000 3.726 3.726 3.726 0.000" Properties=species:S:1:pos:R:3 pbc="T T T"
Ce 0.000 0.000 0.000
Gd 3.726 3.726 3.726
Cd 5.589 5.589 5.589
Ga 1.863 1.863 1.863
```



Computed, not measured: a relaxed structure of AcTb12Sm3 at the GGA-PBE level of DFT.

Results
Final energy = -4.588 eV per atom
SG = P4/mmm, No. 123
V = 527.38 Å³ per cell
E_form = 0.027 eV/atom
Mass density = 8140 kg/m3

extended XYZ file:
```
16
Lattice="5.089 0.000 0.000 0.000 5.089 0.000 0.000 0.000 20.368" Properties=species:S:1:pos:R:3 pbc="T T T"
Ac 0.000 0.000 0.000
Tb 0.000 2.544 2.645
Tb 0.000 2.544 7.669
Tb 0.000 2.544 12.699
Tb 0.000 2.544 17.723
Tb 2.544 0.000 2.645
Tb 2.544 0.000 7.669
Tb 2.544 0.000 12.699
Tb 2.544 0.000 17.723
Tb 2.544 2.544 0.000
Tb 2.544 2.544 5.162
Tb 2.544 2.544 10.184
Tb 2.544 2.544 15.206
Sm 0.000 0.000 5.138
Sm 0.000 0.000 10.184
Sm 0.000 0.000 15.230
```



Computed, not measured: a relaxed structure of YRe2MoRu at the GGA-PBE level of DFT.

Results
Final energy = -8.606 eV per atom
SG = P4/mmm, No. 123
V = 109.74 Å³ per cell
E_form = 1.688 eV/atom
Mass density = 9962 kg/m3

extended XYZ file:
```
5
Lattice="4.698 0.000 0.000 0.000 4.698 0.000 0.000 0.000 4.972" Properties=species:S:1:pos:R:3 pbc="T T T"
Y 0.000 0.000 0.000
Re 0.000 2.349 2.486
Re 2.349 0.000 2.486
Mo 2.349 2.349 0.000
Ru 0.000 0.000 2.486
```



Computed, not measured: a relaxed structure of Y2NiAgSn at the GGA-PBE level of DFT.

Results
Final energy = -4.542 eV per atom
SG = P4/mmm, No. 123
V = 149.22 Å³ per cell
E_form = 0.570 eV/atom
Mass density = 5153 kg/m3

extended XYZ file:
```
5
Lattice="5.497 0.000 0.000 0.000 5.497 0.000 0.000 0.000 4.938" Properties=species:S:1:pos:R:3 pbc="T T T"
Y 0.000 2.749 0.000
Y 2.749 0.000 0.000
Ni 0.000 0.000 2.469
Ag 2.749 2.749 0.000
Sn 2.749 2.749 2.469
```



Computed, not measured: a relaxed structure of Ce2ThSc5 at the GGA-PBE level of DFT.

Results
Final energy = -6.142 eV per atom
SG = Cmcm, No. 63
V = 417.67 Å³ per cell
E_form = 0.226 eV/atom
Mass density = 5861 kg/m3

extended XYZ file:
```
16
Lattice="2.744 -5.818 0.000 2.744 5.818 0.000 0.000 0.000 13.079" Properties=species:S:1:pos:R:3 pbc="T T T"
Ce 2.744 3.872 8.353
Ce 2.744 3.872 11.266
Ce 2.744 -3.872 1.813
Ce 2.744 -3.872 4.726
Th 2.744 2.081 3.270
Th 2.744 -2.081 9.810
Sc 2.744 4.802 1.486
Sc 2.744 4.802 5.054
Sc 2.744 1.545 0.210
Sc 2.744 1.545 6.330
Sc 2.744 0.954 9.810
Sc 2.744 -0.954 3.270
Sc 2.744 -1.545 6.750
Sc 2.744 -1.545 12.869
Sc 2.744 -4.802 8.025
Sc 2.744 -4.802 11.594
```



Computed, not measured: a relaxed structure of SmAl8Rh4 at the GGA-PBE level of DFT.

Results
Final energy = -5.734 eV per atom
SG = I4/mmm, No. 139
V = 207.96 Å³ per cell
E_form = -0.806 eV/atom
Mass density = 6211 kg/m3

extended XYZ file:
```
13
Lattice="-4.358 4.358 2.737 4.358 -4.358 2.737 4.358 4.358 -2.737" Properties=species:S:1:pos:R:3 pbc="T T T"
Sm 0.000 0.000 0.000
Al 2.995 0.000 0.000
Al 5.722 0.000 0.000
Al 4.358 2.396 0.000
Al 0.000 2.995 0.000
Al 2.396 4.358 0.000
Al 1.962 0.000 2.737
Al 0.000 5.722 0.000
Al 0.000 1.962 2.737
Rh 2.179 2.179 -1.369
Rh 2.179 -2.179 1.369
Rh -2.179 2.179 1.369
Rh 2.179 2.179 1.369
```